No. 1
{
  "formula": "La2AlHgPb",
  "functional": "GGA-PBEsol",
  "state": "optimized geometry",
  "lattice_angstrom": [[-0.597, -5.355, -0.503], [2.304, -0.753, 5.281], [-5.296, 0.369, 2.363]],
  "species": ["La", "La", "Pb", "Hg", "Al"],
  "frac_coords": [[0.000, 0.000, 0.500], [0.000, 0.500, 0.000], [0.500, 0.000, 0.000], [0.000, 0.000, 0.000], [0.500, 0.500, 0.500]],
  "energy_ev_per_atom": -3.490,
  "space_group": "P4/mmm",
  "n_ef_per_ev_cell": 4.781,
  "volume_a3_per_atom": 36.55,
  "m_tot_mub_per_cell": 0.00,
  "formation_energy_ev_per_atom": 0.38
}

No. 2
{
  "formula": "LaZr2AlHg",
  "functional": "GGA-PBEsol",
  "state": "optimized geometry",
  "lattice_angstrom": [[5.056, 0.000, 0.000], [0.000, 5.056, 0.000], [0.000, 0.000, 5.422]],
  "species": ["Hg", "Al", "Zr", "Zr", "La"],
  "frac_coords": [[0.500, 0.500, 0.500], [0.000, 0.000, 0.000], [0.000, 0.500, 0.000], [0.500, 0.000, 0.000], [0.000, 0.000, 0.500]],
  "energy_ev_per_atom": -5.099,
  "space_group": "P4/mmm",
  "n_ef_per_ev_cell": 6.884,
  "volume_a3_per_atom": 27.72,
  "m_tot_mub_per_cell": 0.00,
  "formation_energy_ev_per_atom": 0.54
}

No. 3
{
  "formula": "LiAlHg4",
  "functional": "GGA-PBEsol",
  "state": "optimized geometry",
  "lattice_angstrom": [[-1.426, 5.115, -2.358], [0.515, 0.801, -5.731], [-4.754, 0.449, -3.309]],
  "species": ["Al", "Hg", "Hg", "Hg", "Hg", "Li"],
  "frac_coords": [[0.000, 0.000, 0.000], [0.874, 0.375, 0.375], [0.375, 0.375, 0.874], [0.375, 0.375, 0.375], [0.375, 0.874, 0.375], [0.750, 0.750, 0.750]],
  "energy_ev_per_atom": -1.282,
  "space_group": "F-43m",
  "n_ef_per_ev_cell": 2.275,
  "volume_a3_per_atom": 23.11,
  "m_tot_mub_per_cell": 0.00,
  "formation_energy_ev_per_atom": 0.11
}

No. 4
{
  "formula": "LiAlHg2",
  "functional": "GGA-PBEsol",
  "state": "optimized geometry",
  "lattice_angstrom": [[3.383, 0.000, 0.000], [0.000, 3.383, 0.000], [0.000, 0.000, 6.432]],
  "species": ["Al", "Li", "Hg", "Hg"],
  "frac_coords": [[0.500, 0.500, 0.500], [0.500, 0.500, 0.000], [0.000, 0.000, 0.239], [0.000, 0.000, 0.761]],
  "energy_ev_per_atom": -1.989,
  "space_group": "P4/mmm",
  "n_ef_per_ev_cell": 1.094,
  "volume_a3_per_atom": 18.40,
  "m_tot_mub_per_cell": 0.00,
  "formation_energy_ev_per_atom": -0.19
}